(1)
# Dy3Er2Tm6Sc (PBE, optimized geometry)
# mass density: 8.7 g/cm3
# VASP energy: -4.64 eV/atom
# formation enthalpy at 0 K: 0.0313 eV/atom
# D(E_F): 1.4504 states/eV per atom
data_Dy3Er2Tm6Sc
_chemical_formula_sum 'Dy6 Er4 Tm12 Sc2'
_symmetry_space_group_name_H-M 'C 1 2/m 1'
_symmetry_Int_Tables_number 12
_cell_length_a 6.041
_cell_length_b 10.451
_cell_length_c 11.552
_cell_angle_alpha 90.00
_cell_angle_beta 100.02
_cell_angle_gamma 90.00
loop_
_symmetry_equiv_pos_as_xyz
'x,y,z'
'-x,-y,-z'
'-x,y,-z'
'x,-y,z'
'x+1/2,y+1/2,z'
'-x+1/2,-y+1/2,-z'
'-x+1/2,y+1/2,-z'
'x+1/2,-y+1/2,z'
loop_
_atom_site_label
_atom_site_fract_x
_atom_site_fract_y
_atom_site_fract_z
Dy1 0.000 0.000 0.000
Dy2 0.000 0.333 0.000
Er1 0.000 0.167 0.500
Tm1 0.247 0.334 0.747
Tm2 0.250 0.000 0.747
Sc1 0.000 0.500 0.500

(2)
# KTl2ZnBr (PBE, optimized geometry)
# mass density: 3.8 g/cm3
# formation energy from raw total energies: 0.9 eV/f.u.
# VASP energy: -1.57 eV/atom
# D(E_F): 0.9170 states/eV per atom
data_KTl2ZnBr
_chemical_formula_sum 'K1 Tl2 Zn1 Br1'
_symmetry_space_group_name_H-M 'P 4/m m m'
_symmetry_Int_Tables_number 123
_symmetry_space_group_name_Hall '-P 4 2'
_cell_length_a 6.601
_cell_length_b 6.601
_cell_length_c 5.905
_cell_angle_alpha 90.00
_cell_angle_beta 90.00
_cell_angle_gamma 90.00
loop_
_atom_site_label
_atom_site_fract_x
_atom_site_fract_y
_atom_site_fract_z
K1 0.000 0.000 0.000
Tl1 0.000 0.500 0.000
Zn1 0.500 0.500 0.500
Br1 0.000 0.000 0.500

(3)
# PmErIn4 (PBE, optimized geometry)
# mass density: 8.3 g/cm3
# energy above the most stable polymorph in this dataset: 0.0 meV per atom
# VASP energy: -3.72 eV/atom
# formation enthalpy at 0 K: -0.3466 eV/atom
# D(E_F): 0.7022 states/eV per atom
data_PmErIn4
_chemical_formula_sum 'Pm4 Er4 In16'
_symmetry_space_group_name_H-M 'F -4 3 m'
_symmetry_Int_Tables_number 216
_symmetry_space_group_name_Hall 'F -4 2 3'
_cell_length_a 8.515
_cell_length_b 8.515
_cell_length_c 8.515
_cell_angle_alpha 90.00
_cell_angle_beta 90.00
_cell_angle_gamma 90.00
loop_
_atom_site_label
_atom_site_fract_x
_atom_site_fract_y
_atom_site_fract_z
Pm1 0.000 0.000 0.000
Er1 0.250 0.250 0.750
In1 0.125 0.125 0.375

(4)
# TbPrAgGe (PBE, optimized geometry)
# mass density: 8.0 g/cm3
# VASP energy: -4.73 eV/atom
# formation enthalpy at 0 K: -0.5112 eV/atom
# D(E_F): 1.0145 states/eV per atom
data_TbPrAgGe
_chemical_formula_sum 'Tb4 Pr4 Ag4 Ge4'
_symmetry_space_group_name_H-M 'F -4 3 m'
_symmetry_Int_Tables_number 216
_symmetry_space_group_name_Hall 'F -4 2 3'
_cell_length_a 7.353
_cell_length_b 7.353
_cell_length_c 7.353
_cell_angle_alpha 90.00
_cell_angle_beta 90.00
_cell_angle_gamma 90.00
loop_
_atom_site_label
_atom_site_fract_x
_atom_site_fract_y
_atom_site_fract_z
Tb1 0.000 0.000 0.000
Pr1 0.000 0.000 0.500
Ag1 0.250 0.250 0.250
Ge1 0.250 0.250 0.750

(5)
# LiHgSb2 (PBE, optimized geometry)
# mass density: 7.6 g/cm3
# formation energy from raw total energies: -0.3 eV/f.u.
# VASP energy: -2.69 eV/atom
# D(E_F): 0.4124 states/eV per atom
data_LiHgSb2
_chemical_formula_sum 'Li2 Hg2 Sb4'
_symmetry_space_group_name_H-M 'I -4 m 2'
_symmetry_Int_Tables_number 119
_symmetry_space_group_name_Hall 'I -4 -2'
_cell_length_a 4.525
_cell_length_b 4.525
_cell_length_c 9.567
_cell_angle_alpha 90.00
_cell_angle_beta 90.00
_cell_angle_gamma 90.00
loop_
_atom_site_label
_atom_site_fract_x
_atom_site_fract_y
_atom_site_fract_z
Li1 0.000 0.000 0.000
Hg1 0.000 0.500 0.250
Sb1 0.000 0.000 0.500
Sb2 0.000 0.500 0.750

(6)
# Pr3GaCu8 (PBE, optimized geometry)
# mass density: 8.0 g/cm3
# VASP energy: -4.30 eV/atom
# formation enthalpy at 0 K: -0.1222 eV/atom
# D(E_F): 0.5940 states/eV per atom
data_Pr3GaCu8
_chemical_formula_sum 'Pr9 Ga3 Cu24'
_symmetry_space_group_name_H-M 'R 3 m'
_symmetry_Int_Tables_number 160
_symmetry_space_group_name_Hall 'R 3 -2"'
_cell_length_a 5.2907
_cell_length_b 5.2907
_cell_length_c 25.7966
_cell_angle_alpha 90.00
_cell_angle_beta 90.00
_cell_angle_gamma 120.00
loop_
_atom_site_label
_atom_site_fract_x
_atom_site_fract_y
_atom_site_fract_z
Pr1 0.0000 0.0000 0.0000
Pr2 0.0000 0.0000 0.1261
Pr3 0.0000 0.0000 0.5136
Ga1 0.0000 0.0000 0.6381
Cu1 0.0000 0.0000 0.3164
Cu2 0.0000 0.0000 0.8178
Cu3 0.1684 0.3367 0.3989
Cu4 0.1708 0.3416 0.9019